Entry 1:
Here is a relaxed TmPuMgO6 crystal from Alexandria. Energies are from PBE.

Output
Calculated volume, A^3/atom: 13.2
DFT total energy, eV per atom: -8.34
ΔE_f (raw), meV/atom: -2764.6
Space-group type: P-31c
Size of the total moment, Bohr magnetons per cell: 2.00

Lattice parameters (Å, degrees): 5.3363 5.3363 9.6339 90.00 90.00 120.00
Last column: nearest neighbours and their distance in Å.
Positions (direct):
Tm: 0.0000 0.0000 0.0000  6 O 2.27
Tm: 0.0000 0.0000 0.5000  6 O 2.27
Pu: 0.6667 0.3333 0.2500  6 O 2.02
Pu: 0.3333 0.6667 0.7500  6 O 2.02
Mg: 0.3333 0.6667 0.2500  6 O 2.11
Mg: 0.6667 0.3333 0.7500  6 O 2.11
O: 0.6596 0.6462 0.1357  1 Pu 2.02, 1 Mg 2.11
O: 0.9866 0.3404 0.1357  1 Pu 2.02, 1 Mg 2.11
O: 0.3404 0.9866 0.6357  1 Pu 2.02, 1 Mg 2.11
O: 0.0134 0.6596 0.8643  1 Pu 2.02, 1 Mg 2.11
O: 0.3538 0.3404 0.3643  1 Pu 2.02, 1 Mg 2.11
O: 0.9866 0.6462 0.3643  1 Pu 2.02, 1 Mg 2.11
O: 0.6462 0.9866 0.8643  1 Pu 2.02, 1 Mg 2.11
O: 0.6596 0.0134 0.3643  1 Pu 2.02, 1 Mg 2.11
O: 0.0134 0.3538 0.6357  1 Pu 2.02, 1 Mg 2.11
O: 0.3538 0.0134 0.1357  1 Pu 2.02, 1 Mg 2.11
O: 0.6462 0.6596 0.6357  1 Pu 2.02, 1 Mg 2.11
O: 0.3404 0.3538 0.8643  1 Pu 2.02, 1 Mg 2.11

Entry 2:
Here is a relaxed Np2Si2MoRu5 crystal from Alexandria. Energies are from PBE.

Output
Calculated volume, A^3/atom: 16.2
DFT total energy, eV per atom: -9.61
ΔE_f (raw), meV/atom: -214.2
DOS(E_F), states/eV per cell: 32.1
Space-group type: P4/mbm
Size of the total moment, Bohr magnetons per cell: 14.45

Lattice parameters (Å, degrees): 3.0661 10.2808 10.2808 90.00 90.00 90.00
Last column: nearest neighbours and their distance in Å.
Positions (direct):
Np: 0.0000 0.6762 0.1762  3 Si 2.87-3.15, 10 Ru 2.99-3.13, 2 Np 3.07
Np: 0.0000 0.3238 0.8238  3 Si 2.87-3.15, 10 Ru 2.99-3.13, 2 Np 3.07
Np: 0.0000 0.1762 0.3238  3 Si 2.87-3.15, 10 Ru 2.99-3.13, 2 Np 3.07
Np: 0.0000 0.8238 0.6762  3 Si 2.87-3.15, 10 Ru 2.99-3.13, 2 Np 3.07
Si: 0.0000 0.1266 0.6266  6 Ru 2.40
Si: 0.0000 0.8734 0.3734  6 Ru 2.40
Si: 0.0000 0.6266 0.8734  6 Ru 2.40
Si: 0.0000 0.3734 0.1266  6 Ru 2.40
Mo: 0.0000 0.0000 0.0000  8 Ru 2.69
Mo: 0.0000 0.5000 0.5000  8 Ru 2.69
Ru: 0.5000 0.2066 0.0601  2 Si 2.40
Ru: 0.5000 0.7934 0.9399  2 Si 2.40
Ru: 0.5000 0.0601 0.7934  2 Si 2.40
Ru: 0.5000 0.7066 0.4399  2 Si 2.40
Ru: 0.5000 0.9399 0.2066  2 Si 2.40
Ru: 0.5000 0.2934 0.5601  2 Si 2.40
Ru: 0.5000 0.5601 0.7066  2 Si 2.40
Ru: 0.5000 0.4399 0.2934  2 Si 2.40
Ru: 0.5000 0.5000 0.0000  4 Si 2.40
Ru: 0.5000 0.0000 0.5000  4 Si 2.40

Entry 3:
Here is a relaxed RbBaGe4 crystal from Alexandria. Energies are from PBE.

Output
Calculated volume, A^3/atom: 28.5
DFT total energy, eV per atom: -3.71
DOS(E_F), states/eV per cell: 8.1
Space-group type: F-43m
Size of the total moment, Bohr magnetons per cell: 0.00

Lattice parameters (Å, degrees): 6.2317 6.2317 6.2317 60.00 60.00 60.00
Last column: nearest neighbours and their distance in Å.
Positions (direct):
Ge: 0.6420 0.6420 0.0740  3 Ge 2.69
Ge: 0.6420 0.0740 0.6420  3 Ge 2.69
Ge: 0.6420 0.6420 0.6420  3 Ge 2.69
Ge: 0.0740 0.6420 0.6420  3 Ge 2.69
Ba: 0.0000 0.0000 0.0000  12 Ge 3.62, 4 Rb 3.82
Rb: 0.2500 0.2500 0.2500  12 Ge 3.71, 4 Ba 3.82

Entry 4:
Here is a relaxed LiTbZn2Ag5 crystal from Alexandria. Energies are from PBE.

Output
Calculated volume, A^3/atom: 20.3
DFT total energy, eV per atom: -2.62
DOS(E_F), states/eV per cell: 4.3
Space-group type: P4/mmm
Size of the total moment, Bohr magnetons per cell: 0.00

Lattice parameters (Å, degrees): 4.7872 4.7872 7.9838 90.00 90.00 90.00
Last column: nearest neighbours and their distance in Å.
Positions (direct):
Li: 0.0000 0.0000 0.0000  8 Ag 3.19
Tb: 0.0000 0.0000 0.5000  12 Ag 3.04-3.39
Zn: 0.5000 0.5000 0.1496  1 Zn 2.39, 4 Ag 2.56
Zn: 0.5000 0.5000 0.8504  1 Zn 2.39, 4 Ag 2.56
Ag: 0.0000 0.5000 0.2647  2 Zn 2.56
Ag: 0.5000 0.0000 0.2647  2 Zn 2.56
Ag: 0.0000 0.5000 0.7353  2 Zn 2.56
Ag: 0.5000 0.0000 0.7353  2 Zn 2.56
Ag: 0.5000 0.5000 0.5000  2 Zn 2.80, 8 Ag 3.04

Entry 5:
Here is a relaxed Tm2Ni3P2 crystal from Alexandria. Energies are from PBE.

Output
Calculated volume, A^3/atom: 15.0
DFT total energy, eV per atom: -6.23
DOS(E_F), states/eV per cell: 2.6
Space-group type: C2/m
Size of the total moment, Bohr magnetons per cell: 0.00

Lattice parameters (Å, degrees): 3.6435 5.2239 6.5972 115.01 90.00 110.41
Last column: nearest neighbours and their distance in Å.
Positions (direct):
Tm: 0.8683 0.7366 0.2318  4 P 2.76-2.88, 6 Ni 2.89-3.02
Tm: 0.1317 0.2634 0.7682  4 P 2.76-2.88, 6 Ni 2.89-3.02
Ni: 0.5000 0.0000 0.0000  4 P 2.38, 2 Ni 2.53
Ni: 0.6353 0.2707 0.4297  3 P 2.32-2.34, 1 Ni 2.53
Ni: 0.3647 0.7293 0.5703  3 P 2.32-2.34, 1 Ni 2.53
P: 0.8481 0.6962 0.7819  5 Ni 2.32-2.38
P: 0.1519 0.3038 0.2181  5 Ni 2.32-2.38

Entry 6:
Here is a relaxed Tl2BiP crystal from Alexandria. Energies are from PBE.

Output
Calculated volume, A^3/atom: 34.9
DFT total energy, eV per atom: -3.27
DOS(E_F), states/eV per cell: 0.7
Space-group type: I-42d
Size of the total moment, Bohr magnetons per cell: 0.00

Lattice parameters (Å, degrees): 6.5906 6.5906 7.9429 65.49 65.49 90.00
Last column: nearest neighbours and their distance in Å.
Positions (direct):
P: 0.5000 0.5000 0.0000  4 Tl 2.68
P: 0.2500 0.7500 0.5000  4 Tl 2.68
Tl: 0.5821 0.1250 0.2500  2 P 2.68
Tl: 0.1679 0.6250 0.2500  2 P 2.68
Tl: 0.3750 0.4179 0.7500  2 P 2.68
Tl: 0.8750 0.8321 0.7500  2 P 2.68
Bi: 0.0000 0.0000 0.0000  4 Tl 3.00
Bi: 0.7500 0.2500 0.5000  4 Tl 3.00

Entry 7:
Here is a relaxed LiCa2Ga2Rh5 crystal from Alexandria. Energies are from PBE.

Output
Calculated volume, A^3/atom: 16.7
DFT total energy, eV per atom: -5.31
DOS(E_F), states/eV per cell: 15.3
Space-group type: P4/mbm
Size of the total moment, Bohr magnetons per cell: 0.00

Lattice parameters (Å, degrees): 3.3158 10.0323 10.0323 90.00 90.00 90.00
Last column: nearest neighbours and their distance in Å.
Positions (direct):
Li: 0.0000 0.0000 0.0000  8 Rh 2.65
Li: 0.0000 0.5000 0.5000  8 Rh 2.65
Ca: 0.0000 0.6713 0.1713  3 Ga 2.80-3.06, 2 Rh 2.94
Ca: 0.0000 0.3287 0.8287  3 Ga 2.80-3.06, 2 Rh 2.94
Ca: 0.0000 0.1713 0.3287  3 Ga 2.80-3.06, 2 Rh 2.94
Ca: 0.0000 0.8287 0.6713  3 Ga 2.80-3.06, 2 Rh 2.94
Ga: 0.0000 0.1313 0.6313  6 Rh 2.49
Ga: 0.0000 0.8687 0.3687  6 Rh 2.49
Ga: 0.0000 0.6313 0.8687  6 Rh 2.49
Ga: 0.0000 0.3687 0.1313  6 Rh 2.49
Rh: 0.5000 0.1956 0.0639  2 Ga 2.49, 2 Li 2.65
Rh: 0.5000 0.8044 0.9361  2 Ga 2.49, 2 Li 2.65
Rh: 0.5000 0.0639 0.8044  2 Ga 2.49, 2 Li 2.65
Rh: 0.5000 0.6956 0.4361  2 Ga 2.49, 2 Li 2.65
Rh: 0.5000 0.9361 0.1956  2 Ga 2.49, 2 Li 2.65
Rh: 0.5000 0.3044 0.5639  2 Ga 2.49, 2 Li 2.65
Rh: 0.5000 0.5639 0.6956  2 Ga 2.49, 2 Li 2.65
Rh: 0.5000 0.4361 0.3044  2 Ga 2.49, 2 Li 2.65
Rh: 0.5000 0.5000 0.0000  4 Ga 2.49
Rh: 0.5000 0.0000 0.5000  4 Ga 2.49

Entry 8:
Here is a relaxed SmHoCo crystal from Alexandria. Energies are from PBE.

Output
Calculated volume, A^3/atom: 27.3
DFT total energy, eV per atom: -5.50
DOS(E_F), states/eV per cell: 2.7
Space-group type: P3m1
Size of the total moment, Bohr magnetons per cell: 0.00

Lattice parameters (Å, degrees): 3.9105 3.9105 6.1830 90.00 90.00 120.00
Last column: nearest neighbours and their distance in Å.
Positions (direct):
Co: 0.6667 0.3333 0.3370  3 Ho 2.66, 3 Sm 2.69
Ho: 0.3333 0.6667 0.5637  3 Co 2.66
Sm: 0.0000 0.0000 0.0993  3 Co 2.69

Entry 9:
Here is a relaxed LiHgAsSe2 crystal from Alexandria. Energies are from PBE.

Output
Calculated volume, A^3/atom: 21.6
DFT total energy, eV per atom: -2.42
ΔE_f (raw), meV/atom: 351.5
DOS(E_F), states/eV per cell: 3.9
Space-group type: P4/mmm
Size of the total moment, Bohr magnetons per cell: 0.00

Lattice parameters (Å, degrees): 4.8760 4.8760 4.5525 90.00 90.00 90.00
Last column: nearest neighbours and their distance in Å.
Positions (direct):
As: 0.0000 0.0000 0.5000  2 Li 2.28
Hg: 0.5000 0.5000 0.5000  8 Se 3.34, 4 As 3.45
Se: 0.0000 0.5000 0.0000  2 Li 2.44
Se: 0.5000 0.0000 0.0000  2 Li 2.44
Li: 0.0000 0.0000 0.0000  2 As 2.28, 4 Se 2.44

Entry 10:
Here is a relaxed SmH10Ru3 crystal from Alexandria. Energies are from PBE.

Output
Calculated volume, A^3/atom: 7.2
DFT total energy, eV per atom: -4.83
DOS(E_F), states/eV per cell: 12.0
Space-group type: Fm-3m
Size of the total moment, Bohr magnetons per cell: 0.00

Lattice parameters (Å, degrees): 6.5941 6.5941 6.5941 60.00 60.00 60.00
Last column: nearest neighbours and their distance in Å.
Positions (direct):
Sm: 0.2500 0.2500 0.2500  16 H 2.34-2.58
Sm: 0.7500 0.7500 0.7500  16 H 2.34-2.58
H: 0.0000 0.0000 0.3322  2 Ru 1.78
H: 0.0000 0.3322 0.0000  2 Ru 1.78
H: 0.3322 0.0000 0.0000  2 Ru 1.78
H: 0.6678 0.3322 0.0000  2 Ru 1.78
H: 0.3947 0.3947 0.3947  3 Ru 1.87, 3 H 1.96
H: 0.1840 0.6053 0.6053  3 Ru 1.87, 3 H 1.96
H: 0.3947 0.8160 0.3947  3 Ru 1.87, 3 H 1.96
H: 0.6678 0.0000 0.3322  2 Ru 1.78
H: 0.3947 0.3947 0.8160  3 Ru 1.87, 3 H 1.96
H: 0.8160 0.3947 0.3947  3 Ru 1.87, 3 H 1.96
H: 0.6053 0.6053 0.1840  3 Ru 1.87, 3 H 1.96
H: 0.0000 0.0000 0.6678  2 Ru 1.78
H: 0.3322 0.6678 0.0000  2 Ru 1.78
H: 0.0000 0.6678 0.3322  2 Ru 1.78
H: 0.0000 0.3322 0.6678  2 Ru 1.78
H: 0.6678 0.0000 0.0000  2 Ru 1.78
H: 0.6053 0.6053 0.6053  3 Ru 1.87, 3 H 1.96
H: 0.0000 0.6678 0.0000  2 Ru 1.78
H: 0.6053 0.1840 0.6053  3 Ru 1.87, 3 H 1.96
H: 0.3322 0.0000 0.6678  2 Ru 1.78
Ru: 0.7396 0.7396 0.2604  8 H 1.78-1.87
Ru: 0.7396 0.2604 0.7396  8 H 1.78-1.87
Ru: 0.2604 0.7396 0.7396  8 H 1.78-1.87
Ru: 0.2604 0.2604 0.7396  8 H 1.78-1.87
Ru: 0.7396 0.2604 0.2604  8 H 1.78-1.87
Ru: 0.2604 0.7396 0.2604  8 H 1.78-1.87